# Mo2OsF | Alexandria | PBE with a Hubbard U | relaxed
# Distance to the lowest polymorph of the same formula   0.000 eV per atom
# Size of the total moment   5.00 μB/f.u.
data_Mo2OsF
_chemical_formula_sum 'Mo8 Os4 F4'
_space_group_name_H-M_alt 'I -4 2 d'
_space_group_IT_number 122
_space_group_name_Hall 'I -4 2bw'
_cell_length_a 6.384
_cell_length_b 6.384
_cell_length_c 7.172
_cell_angle_alpha 90.00
_cell_angle_beta 90.00
_cell_angle_gamma 90.00
loop_
_atom_site_label
_atom_site_fract_x
_atom_site_fract_y
_atom_site_fract_z
Mo1 0.222 0.750 0.125
Os1 0.000 0.000 0.500
F1 0.000 0.000 0.000